Material: Ag2SbSe
Method: DFT, PBE
State: optimized geometry

Cell: 8.703 3.240 6.468 Å, 90.00 90.02 90.00°
Sites, in units of the cell vectors:
Ag: 0.226 0.001 0.499
Ag: 0.226 0.999 0.999
Ag: 0.774 0.001 0.001
Ag: 0.774 0.999 0.501
Sb: 0.500 0.500 0.000
Sb: 0.500 0.500 0.500
Se: 0.000 0.295 0.750
Se: 0.000 0.705 0.250

Summary:
- Fermi-level density of states: 0.36 states/eV per atom
- SG: P2/c (13)
- Spin magnetization: 0.000 μB per formula unit
- Formation energy without anion corrections: 118 meV per atom